Entry from Alexandria: a relaxed structure of NdDyNi (PBE-GGA).

Cell lengths 4.824, 4.824, 4.824 Å; angles 60.00, 60.00, 60.00 degrees
Fractional positions:
Ni (0.250, 0.250, 0.250)
Dy (0.500, 0.500, 0.500)
Nd (0.000, 0.000, 0.000)

Computed properties:
Calculated volume in Å³/cell: 79
Formation enthalpy at 0 K in eV/atom: -0.10
SG: F-43m (216)
Fermi-level density of states in states/eV per atom: 0.986